[1]
A relaxed structure of PuThAs, computed with PBE.

## Properties
E_tot in eV/cell: -111.3
Relative energy among the computed polymorphs in eV/atom: 0.101
ρ in g/cm³: 12.1

Cell: 5.0282 5.0282 13.7708 Å, 90.00 90.00 120.00°
Closest atoms and distances in Å follow each position.
Space group P6_3/mmc (No. 194)
Inequivalent atoms, fractional coordinates:
Pu 0.3333 0.6667 0.1153 (multiplicity 4)  4 As 2.90-3.09
Th 0.0000 0.0000 0.0000 (multiplicity 2)  6 As 3.27, 6 Pu 3.31, 2 Th 3.44
Th 0.0000 0.0000 0.2500 (multiplicity 2)  2 Th 3.44, 6 Pu 3.44, 6 As 3.49
As 0.3333 0.6667 0.6094 (multiplicity 4)  4 Pu 2.90-3.09


[2]
A relaxed structure of Pu4ThAs5, computed with PBE.

## Properties
E_tot in eV/cell: -198.3
ρ in g/cm³: 10.2

Cell: 13.8154 4.1815 10.2031 Å, 90.00 119.40 90.00°
Closest atoms and distances in Å follow each position.
Space group C2/m (No. 12)
Inequivalent atoms, fractional coordinates:
Pu 0.0987 0.0000 0.4004 (multiplicity 4)  6 As 2.92-2.96
Pu 0.2005 0.5000 0.7963 (multiplicity 4)  6 As 2.93-2.96
Th 0.0000 0.5000 0.0000 (multiplicity 2)  6 As 2.98-2.99
As 0.0000 0.5000 0.5000 (multiplicity 2)  6 Pu 2.93-2.94
As 0.1037 0.0000 0.8985 (multiplicity 4)  4 Pu 2.94-2.96, 2 Th 2.99
As 0.2010 0.5000 0.3042 (multiplicity 4)  5 Pu 2.92-2.95, 1 Th 2.98


[3]
A relaxed structure of PuTh4As5, computed with PBE.

## Properties
E_tot in eV/cell: -161.3
ρ in g/cm³: 9.5

Cell: 9.4813 9.4813 5.9922 Å, 90.00 90.00 90.00°
Closest atoms and distances in Å follow each position.
Space group I4/m (No. 87)
Inequivalent atoms, fractional coordinates:
Pu 0.0000 0.0000 0.0000 (multiplicity 2)  6 As 2.97-3.00
Th 0.0990 0.2995 0.5000 (multiplicity 8)  6 As 2.99-3.02
As 0.0000 0.0000 0.5000 (multiplicity 2)  4 Th 2.99, 2 Pu 3.00
As 0.0991 0.2972 0.0000 (multiplicity 8)  1 Pu 2.97, 5 Th 3.00-3.02


[4]
A relaxed structure of PuTh4As6, computed with PBE.

## Properties
E_tot in eV/cell: -506.1
ρ in g/cm³: 9.5

Cell: 11.6768 11.6768 14.4498 Å, 90.00 90.00 120.00°
Closest atoms and distances in Å follow each position.
Space group R-3c (No. 167, hexagonal axes)
Inequivalent atoms, fractional coordinates:
Pu 0.0000 0.0000 0.0000 (multiplicity 6)  6 As 2.82
Th 0.0000 0.0000 0.2500 (multiplicity 6)  6 As 3.02
Th 0.0000 0.3844 0.2500 (multiplicity 18)  8 As 2.98-3.23
As 0.0302 0.2092 0.3862 (multiplicity 36)  1 Pu 2.82, 3 Th 2.98-3.15


[5]
A relaxed structure of PuTh5As6, computed with PBE.

## Properties
E_tot in eV/cell: -191.1
ρ in g/cm³: 9.5

Cell: 7.3432 12.7122 7.3554 Å, 90.00 109.45 90.00°
Closest atoms and distances in Å follow each position.
Space group C2/m (No. 12)
Inequivalent atoms, fractional coordinates:
Pu 0.0000 0.0000 0.0000 (multiplicity 2)  6 As 2.97-2.98
Th 0.0000 0.1674 0.5000 (multiplicity 4)  6 As 3.00-3.02
Th 0.0000 0.3335 0.0000 (multiplicity 4)  6 As 3.00
Th 0.0000 0.5000 0.5000 (multiplicity 2)  6 As 3.00-3.02
As 0.2473 0.0000 0.7512 (multiplicity 4)  1 Pu 2.98, 5 Th 3.00-3.02
As 0.2478 0.1652 0.2479 (multiplicity 8)  1 Pu 2.97, 5 Th 3.00-3.02


[6]
A relaxed structure of Pu3Th5As8, computed with PBE.

## Properties
E_tot in eV/cell: -413.7
ρ in g/cm³: 9.7

Cell: 8.4614 8.4614 20.6283 Å, 90.00 90.00 120.00°
Closest atoms and distances in Å follow each position.
Space group R-3m (No. 166, hexagonal axes)
Inequivalent atoms, fractional coordinates:
Pu 0.0000 0.5000 0.0000 (multiplicity 9)  6 As 2.96-2.97
Th 0.0000 0.0000 0.0000 (multiplicity 3)  6 As 2.99
Th 0.0000 0.0000 0.5000 (multiplicity 3)  6 As 2.99
Th 0.0000 0.5000 0.5000 (multiplicity 9)  6 As 3.01
As 0.0000 0.0000 0.2520 (multiplicity 6)  3 Pu 2.96, 3 Th 3.01
As 0.0024 0.5012 0.2512 (multiplicity 18)  2 Pu 2.97, 4 Th 2.99-3.01


[7]
A relaxed structure of PuThAs, computed with PBE.

## Properties
E_tot in eV/cell: -27.4
Relative energy among the computed polymorphs in eV/atom: 0.240
ρ in g/cm³: 11.8

Cell: 4.8503 4.8503 3.8054 Å, 90.00 90.00 120.00°
Closest atoms and distances in Å follow each position.
Space group P3m1 (No. 156)
Inequivalent atoms, fractional coordinates:
Pu 0.0000 0.0000 0.0000 (multiplicity 1)  3 As 2.81
Th 0.3333 0.6667 0.4859 (multiplicity 1)  6 As 3.30-3.48, 6 Pu 3.36-3.42
As 0.6667 0.3333 0.9450 (multiplicity 1)  3 Pu 2.81


[8]
A relaxed structure of PuTh2As4, computed with PBE.

## Properties
E_tot in eV/cell: -217.1
ρ in g/cm³: 8.7

Cell: 4.2294 14.3047 12.7467 Å, 90.00 90.00 90.00°
Closest atoms and distances in Å follow each position.
Space group Cmcm (No. 63)
Inequivalent atoms, fractional coordinates:
Pu 0.0000 0.1131 0.2500 (multiplicity 4)  6 As 2.84-3.07
Th 0.0000 0.3668 0.0659 (multiplicity 8)  6 As 2.85-3.00
As 0.0000 0.0000 0.0000 (multiplicity 4)  4 Th 2.97
As 0.0000 0.2667 0.6399 (multiplicity 8)  1 As 2.81, 3 Th 2.99-3.00, 2 Pu 3.07
As 0.0000 0.4802 0.2500 (multiplicity 4)  2 Pu 2.84, 2 Th 2.85


[9]
A relaxed structure of TmPu3Th2As6, computed with PBE.

## Properties
E_tot in eV/cell: -210.4
ρ in g/cm³: 9.7

Cell: 18.1673 4.1948 8.3268 Å, 90.00 102.85 90.00°
Closest atoms and distances in Å follow each position.
Space group C2/m (No. 12)
Inequivalent atoms, fractional coordinates:
Tm 0.0000 0.0000 0.0000 (multiplicity 2)  6 As 2.92-2.94
Pu 0.0000 0.0000 0.5000 (multiplicity 2)  6 As 2.94-2.97
Pu 0.1672 0.5000 0.8342 (multiplicity 4)  6 As 2.91-2.97
Th 0.1646 0.5000 0.3299 (multiplicity 4)  6 As 2.96-3.00
As 0.0028 0.5000 0.7540 (multiplicity 4)  3 Pu 2.91-2.97, 2 Tm 2.94, 1 Th 2.96
As 0.1651 0.0000 0.0765 (multiplicity 4)  3 Pu 2.92-2.97, 1 Tm 2.92, 2 Th 2.98
As 0.1658 0.0000 0.5873 (multiplicity 4)  3 Pu 2.93-2.94, 3 Th 3.00


[10]
A relaxed structure of Tm3PuTh2As6, computed with PBE.

## Properties
E_tot in eV/cell: -174.5
ρ in g/cm³: 9.1

Cell: 18.0527 4.1584 8.2697 Å, 90.00 103.00 90.00°
Closest atoms and distances in Å follow each position.
Space group C2/m (No. 12)
Inequivalent atoms, fractional coordinates:
Tm 0.0000 0.0000 0.0000 (multiplicity 2)  6 As 2.90-2.91
Tm 0.1666 0.5000 0.3338 (multiplicity 4)  6 As 2.88-2.90
Pu 0.0000 0.0000 0.5000 (multiplicity 2)  6 As 2.95-2.96
Th 0.1646 0.5000 0.8299 (multiplicity 4)  6 As 2.95-3.00
As 0.0031 0.5000 0.2481 (multiplicity 4)  3 Tm 2.88-2.91, 1 Th 2.95, 2 Pu 2.95
As 0.1648 0.0000 0.0895 (multiplicity 4)  3 Tm 2.89-2.90, 3 Th 2.99-3.00
As 0.1684 0.0000 0.5757 (multiplicity 4)  3 Tm 2.88-2.90, 1 Pu 2.96, 2 Th 2.97


[11]
A relaxed structure of TmPu2ThAs4, computed with PBE.

## Properties
E_tot in eV/cell: -69.0
ρ in g/cm³: 9.7

Cell: 7.1919 4.1731 7.2027 Å, 90.00 109.70 90.00°
Closest atoms and distances in Å follow each position.
Space group P2/m (No. 10)
Inequivalent atoms, fractional coordinates:
Tm 0.0000 0.0000 0.0000 (multiplicity 1)  6 As 2.91-2.93
Pu 0.5000 0.0000 0.5000 (multiplicity 1)  6 As 2.96-2.97
Pu 0.5000 0.5000 0.0000 (multiplicity 1)  6 As 2.91-2.92
Th 0.0000 0.5000 0.5000 (multiplicity 1)  6 As 2.97-2.98
As 0.2496 0.5000 0.2453 (multiplicity 2)  3 Pu 2.92-2.96, 2 Tm 2.93, 1 Th 2.97
As 0.2534 0.0000 0.7584 (multiplicity 2)  3 Pu 2.91-2.97, 1 Tm 2.91, 2 Th 2.98


[12]
A relaxed structure of Tm2PuThAs4, computed with PBE.

## Properties
E_tot in eV/cell: -60.2
ρ in g/cm³: 9.2

Cell: 7.1488 4.1476 7.1690 Å, 90.00 109.62 90.00°
Closest atoms and distances in Å follow each position.
Space group P2/m (No. 10)
Inequivalent atoms, fractional coordinates:
Tm 0.0000 0.0000 0.0000 (multiplicity 1)  6 As 2.90-2.91
Tm 0.0000 0.5000 0.5000 (multiplicity 1)  6 As 2.88
Pu 0.5000 0.0000 0.5000 (multiplicity 1)  6 As 2.94-2.95
Th 0.5000 0.5000 0.0000 (multiplicity 1)  6 As 2.97
As 0.2399 0.0000 0.7445 (multiplicity 2)  3 Tm 2.88-2.90, 1 Pu 2.95, 2 Th 2.97
As 0.2435 0.5000 0.2509 (multiplicity 2)  3 Tm 2.88-2.91, 2 Pu 2.94, 1 Th 2.97


Which value of ρ does entry 11 give?
9.7 g/cm³